[1]
Density functional theory data (PBE) for crystalline YNiAu2 at its relaxed geometry. Values from VASP.

Properties
symmetry = Cmmm, No. 65

The structure in Quantum ESPRESSO input format:
```
&SYSTEM
  ibrav = 0, nat = 4, ntyp = 3
/
ATOMIC_SPECIES
Au 196.97 Au.upf
Ni 58.69 Ni.upf
Y 88.91 Y.upf
ATOMIC_POSITIONS crystal
Au 0.000 0.000 0.000
Au 0.500 0.500 0.000
Ni 0.500 0.000 0.500
Y 0.000 0.500 0.500
CELL_PARAMETERS angstrom
-2.597 3.312 0.467
-2.910 -1.955 -2.375
-1.615 -1.750 3.421
```


[2]
Density functional theory data (PBE) for crystalline La2Be3ZnCu12 at its relaxed geometry. Values from VASP.

Properties
symmetry = R-3m, No. 166

The structure in Quantum ESPRESSO input format:
```
&SYSTEM
  ibrav = 0, nat = 18, ntyp = 4
/
ATOMIC_SPECIES
La 138.91 La.upf
Be 9.01 Be.upf
Zn 65.41 Zn.upf
Cu 63.55 Cu.upf
ATOMIC_POSITIONS crystal
La 0.608 0.608 0.608
La 0.392 0.392 0.392
Be 0.500 0.000 0.000
Be 0.000 0.500 0.000
Be 0.000 0.000 0.500
Zn 0.000 0.000 0.000
Cu 0.336 0.336 0.907
Cu 0.879 0.879 0.387
Cu 0.387 0.879 0.879
Cu 0.907 0.336 0.336
Cu 0.879 0.387 0.879
Cu 0.336 0.907 0.336
Cu 0.664 0.664 0.093
Cu 0.121 0.121 0.613
Cu 0.613 0.121 0.121
Cu 0.093 0.664 0.664
Cu 0.121 0.613 0.121
Cu 0.664 0.093 0.664
CELL_PARAMETERS angstrom
7.422 -0.045 -0.032
3.626 6.476 -0.032
3.626 2.111 6.123
```


[3]
Density functional theory data (PBE) for crystalline Ba2LiCuP2 at its relaxed geometry. Values from VASP.

Properties
symmetry = Ibam, No. 72

The structure in Quantum ESPRESSO input format:
```
&SYSTEM
  ibrav = 0, nat = 12, ntyp = 4
/
ATOMIC_SPECIES
Ba 137.33 Ba.upf
Li 6.94 Li.upf
Cu 63.55 Cu.upf
P 30.97 P.upf
ATOMIC_POSITIONS crystal
Ba 0.407 0.157 0.315
Ba 0.593 0.843 0.685
Ba 0.092 0.343 0.685
Ba 0.908 0.657 0.315
Li 0.000 0.750 0.000
Li 0.000 0.250 0.000
Cu 0.500 0.750 0.000
Cu 0.500 0.250 0.000
P 0.830 0.093 0.187
P 0.356 0.593 0.187
P 0.644 0.407 0.813
P 0.170 0.907 0.813
CELL_PARAMETERS angstrom
6.284 0.000 0.000
0.000 6.286 0.000
-3.142 -3.143 7.255
```


[4]
Density functional theory data (PBE) for crystalline MgTl2Cr at its relaxed geometry. Values from VASP.

Properties
symmetry = I-4m2, No. 119

The structure in Quantum ESPRESSO input format:
```
&SYSTEM
  ibrav = 0, nat = 4, ntyp = 3
/
ATOMIC_SPECIES
Cr 52.00 Cr.upf
Mg 24.30 Mg.upf
Tl 204.38 Tl.upf
ATOMIC_POSITIONS crystal
Cr 0.500 0.500 0.000
Mg 0.750 0.250 0.500
Tl 0.000 0.000 0.000
Tl 0.250 0.750 0.500
CELL_PARAMETERS angstrom
-3.448 0.838 -4.471
-5.457 -1.369 0.961
3.898 3.157 2.724
```


[5]
Density functional theory data (PBE) for crystalline LaMgTc3 at its relaxed geometry. Values from VASP.

Properties
E above lowest polymorph = 0 meV/atom
symmetry = Pm-3m, No. 221

The structure in Quantum ESPRESSO input format:
```
&SYSTEM
  ibrav = 0, nat = 5, ntyp = 3
/
ATOMIC_SPECIES
Mg 24.30 Mg.upf
Tc 98.00 Tc.upf
La 138.91 La.upf
ATOMIC_POSITIONS crystal
Mg 0.000 0.000 0.000
Tc 0.000 0.500 0.000
Tc 0.000 0.000 0.500
Tc 0.500 0.000 0.000
La 0.500 0.500 0.500
CELL_PARAMETERS angstrom
4.718 0.000 0.000
0.000 4.718 0.000
0.000 0.000 4.718
```


[6]
Density functional theory data (PBE) for crystalline Ba2PuIn2Bi4 at its relaxed geometry. Values from VASP.

Properties
symmetry = C2/m, No. 12

The structure in Quantum ESPRESSO input format:
```
&SYSTEM
  ibrav = 0, nat = 9, ntyp = 4
/
ATOMIC_SPECIES
Ba 137.33 Ba.upf
Pu 244.00 Pu.upf
In 114.82 In.upf
Bi 208.98 Bi.upf
ATOMIC_POSITIONS crystal
Ba 0.133 0.620 0.267
Ba 0.867 0.380 0.733
Pu 0.000 0.000 0.000
In 0.651 0.986 0.302
In 0.349 0.014 0.698
Bi 0.204 0.213 0.408
Bi 0.796 0.787 0.592
Bi 0.473 0.713 0.946
Bi 0.527 0.287 0.054
CELL_PARAMETERS angstrom
-4.654 -1.750 -0.902
1.463 -6.204 4.489
-0.903 6.938 5.349
```


E_form values, unit eV/atom, following the record order: -0.398 0.277 -0.755 0.354 1.406 -0.491.
Calculated total energy values, unit eV per atom, following the record order: -5.0979 -3.6934 -4.2014 -3.6337 -6.1178 -4.8444.